VASP calculation (GGA+U) on crystalline VCo2ReO at its relaxed geometry.

It has space group P4/mmm (No. 123), with a = 3.876 Å, b = 3.876 Å, c = 4.088 Å, α = 90.00°, β = 90.00° and γ = 90.00°. The inequivalent atoms are V at (0.000, 0.000, 0.000), Co at (0.000, 0.500, 0.500), Re at (0.500, 0.500, 0.000) and O at (0.500, 0.500, 0.500).

As for the total energy: -6.329 eV/atom. The value obtained for the magnetic moment is 3.3 μB per cell.